## Mn3TeH (meta-GGA SCAN)

Data for Mn3TeH at its PBEsol-relaxed geometry.

```
data_Mn3TeH
_space_group_name_H-M_alt 'P m -3 m'
_space_group_IT_number 221
_space_group_name_Hall '-P 4 2 3'
_cell_length_a 4.9523
_cell_length_b 4.9523
_cell_length_c 4.9523
_cell_angle_alpha 90.00
_cell_angle_beta 90.00
_cell_angle_gamma 90.00
loop_
_atom_site_label
_atom_site_fract_x
_atom_site_fract_y
_atom_site_fract_z
Mn1 0.0000 0.0000 0.5000
Te1 0.0000 0.0000 0.0000
H1 0.5000 0.5000 0.5000
```



## KBiAs2Br (meta-GGA SCAN)

Data for KBiAs2Br at its PBEsol-relaxed geometry.

Results
formation energy (no corrections)	0.059	eV per atom

```
data_KBiAs2Br
_space_group_name_H-M_alt 'P 4/m m m'
_space_group_IT_number 123
_space_group_name_Hall '-P 4 2'
_cell_length_a 5.4428
_cell_length_b 5.4428
_cell_length_c 6.0200
_cell_angle_alpha 90.00
_cell_angle_beta 90.00
_cell_angle_gamma 90.00
loop_
_atom_site_label
_atom_site_fract_x
_atom_site_fract_y
_atom_site_fract_z
K1 0.0000 0.0000 0.0000
Bi1 0.5000 0.5000 0.5000
As1 0.0000 0.5000 0.5000
Br1 0.5000 0.5000 0.0000
```



## ScCu2Re (meta-GGA SCAN)

Data for ScCu2Re at its PBEsol-relaxed geometry.

Results
DFT formation energy	21.0	kJ per mole of atoms

```
data_ScCu2Re
_space_group_name_H-M_alt 'I m m m'
_space_group_IT_number 71
_space_group_name_Hall '-I 2 2'
_cell_length_a 3.0161
_cell_length_b 4.2697
_cell_length_c 8.8984
_cell_angle_alpha 90.00
_cell_angle_beta 90.00
_cell_angle_gamma 90.00
loop_
_atom_site_label
_atom_site_fract_x
_atom_site_fract_y
_atom_site_fract_z
Sc1 0.0000 0.0000 0.0000
Cu1 0.0000 0.5000 0.2395
Re1 0.0000 0.0000 0.5000
```



## CuPWCl2 (meta-GGA SCAN)

Data for CuPWCl2 at its PBEsol-relaxed geometry.

Results
formation energy (no corrections)	1.122	eV per atom

```
data_CuPWCl2
_space_group_name_H-M_alt 'P 4/m m m'
_space_group_IT_number 123
_space_group_name_Hall '-P 4 2'
_cell_length_a 4.3281
_cell_length_b 4.3281
_cell_length_c 4.9304
_cell_angle_alpha 90.00
_cell_angle_beta 90.00
_cell_angle_gamma 90.00
loop_
_atom_site_label
_atom_site_fract_x
_atom_site_fract_y
_atom_site_fract_z
Cu1 0.0000 0.0000 0.0000
P1 0.0000 0.0000 0.5000
W1 0.5000 0.5000 0.5000
Cl1 0.0000 0.5000 0.0000
```



## MnHgPt (meta-GGA SCAN)

Data for MnHgPt at its PBEsol-relaxed geometry.

Results
DFT formation energy	-20.1	kJ per mole of atoms

```
data_MnHgPt
_space_group_name_H-M_alt 'P 3 m 1'
_space_group_IT_number 156
_space_group_name_Hall 'P 3 -2"'
_cell_length_a 4.4426
_cell_length_b 4.4426
_cell_length_c 2.8531
_cell_angle_alpha 90.00
_cell_angle_beta 90.00
_cell_angle_gamma 120.00
loop_
_atom_site_label
_atom_site_fract_x
_atom_site_fract_y
_atom_site_fract_z
Mn1 0.0000 0.0000 0.0000
Hg1 0.3333 0.6667 0.6300
Pt1 0.6667 0.3333 0.2250
```



## ZrRe2Te (meta-GGA SCAN)

Data for ZrRe2Te at its PBEsol-relaxed geometry.

Results
formation energy (no corrections)	0.391	eV per atom

```
data_ZrRe2Te
_space_group_name_H-M_alt 'R 3 m'
_space_group_IT_number 160
_space_group_name_Hall 'R 3 -2"'
_cell_length_a 3.0040
_cell_length_b 3.0040
_cell_length_c 27.4425
_cell_angle_alpha 90.00
_cell_angle_beta 90.00
_cell_angle_gamma 120.00
loop_
_atom_site_label
_atom_site_fract_x
_atom_site_fract_y
_atom_site_fract_z
Zr1 0.0000 0.0000 0.0000
Re1 0.0000 0.0000 0.4925
Re2 0.0000 0.0000 0.7542
Te1 0.0000 0.0000 0.2427
```



Calculated total energy list, top to bottom, in eV per atom: -17.951; -29.291; -28.716; -21.127; -52.413; -52.145